The following is a GGA+U calculation of MoAuO3 after structural relaxation, from Alexandria via LeMat-Bulk.

Values from the calculation:
The total DFT energy (no corrections) comes out at -4.63 eV/atom. The symmetry is Pm-3m, No. 221.

Cell and atoms, written as POSCAR:
```
MoAuO3
1.0
4.054 0.000 0.000
0.000 4.054 0.000
0.000 0.000 4.054
Mo Au O
1 1 3
direct
0.000 0.000 0.000
0.500 0.500 0.500
0.000 0.500 0.500
0.500 0.000 0.500
0.500 0.500 0.000
```